Below is crystalline Pr4Bi3O at its relaxed geometry, with properties calculated at the PBE level.

Properties
* M_tot: 0.0000 μB per atom
* raw formation energy: -121.1 kJ/mol of atoms
* N(E_F): 5.8 states/eV per cell

Cell lengths 12.729, 6.519, 6.521 Å; angles 90.00, 90.00, 90.00 degrees
Space group Pmn2_1 (No. 31)
Asymmetric unit:
Pr: 0.000 0.153 0.000 [2 per cell]
Pr: 0.000 0.745 0.404 [2 per cell]
Pr: 0.250 0.243 0.501 [4 per cell]
Bi: 0.000 0.244 0.498 [2 per cell]
Bi: 0.250 0.257 0.002 [4 per cell]
O: 0.000 0.822 0.073 [2 per cell]


Below is crystalline TmMg2In at its relaxed geometry, with properties calculated at the PBE level.

Properties
* DFT formation energy: -0.094 eV per atom
* relative energy among the computed polymorphs: 0.159 eV/atom
* M_tot: 0.0001 μB per atom
* N(E_F): 2.3 states/eV per cell

Cell lengths 3.480, 3.480, 8.212 Å; angles 90.00, 90.00, 90.00 degrees
Space group P4/mmm (No. 123)
Asymmetric unit:
Tm: 0.000 0.000 0.000 [1 per cell]
Mg: 0.500 0.500 0.274 [2 per cell]
In: 0.000 0.000 0.500 [1 per cell]


Below is crystalline Th5CoBi3 at its relaxed geometry, with properties calculated at the PBE level.

Properties
* DFT formation energy: -0.530 eV per atom
* M_tot: 0.0001 μB per atom
* N(E_F): 17.6 states/eV per cell

Cell lengths 9.6379, 9.6379, 6.5504 Å; angles 90.00, 90.00, 120.00 degrees
Space group P6_3/mcm (No. 193)
Asymmetric unit:
Th: 0.0000 0.2360 0.2500 [6 per cell]
Th: 0.3333 0.6667 0.0000 [4 per cell]
Co: 0.0000 0.0000 0.0000 [2 per cell]
Bi: 0.0000 0.3953 0.7500 [6 per cell]


Below is crystalline CaTlCl2 at its relaxed geometry, with properties calculated at the PBE level.

Properties
* relative energy among the computed polymorphs: 0.200 eV/atom
* M_tot: 0.0878 μB per atom
* raw formation energy: -136.7 kJ/mol of atoms
* N(E_F): 3.2 states/eV per cell

Cell lengths 11.219, 3.815, 6.727 Å; angles 90.00, 110.54, 90.00 degrees
Space group Cm (No. 8)
Asymmetric unit:
Ca: 0.000 0.000 0.000 [2 per cell]
Tl: 0.229 0.500 0.466 [2 per cell]
Cl: 0.092 0.500 0.818 [2 per cell]
Cl: 0.412 0.000 0.188 [2 per cell]


Below is crystalline HfMg6Sb at its relaxed geometry, with properties calculated at the PBE level.

Properties
* M_tot: 0.0000 μB per atom
* raw formation energy: -1.3 kJ/mol of atoms
* N(E_F): 9.2 states/eV per cell

Cell lengths 5.303, 6.059, 11.175 Å; angles 90.00, 90.00, 90.00 degrees
Space group Amm2 (No. 38)
Asymmetric unit:
Hf: 0.000 0.000 0.000 [2 per cell]
Mg: 0.000 0.248 0.248 [4 per cell]
Mg: 0.500 0.000 0.158 [2 per cell]
Mg: 0.500 0.000 0.659 [2 per cell]
Mg: 0.500 0.242 0.906 [4 per cell]
Sb: 0.000 0.000 0.498 [2 per cell]


Below is crystalline LiCeZnIr at its relaxed geometry, with properties calculated at the PBE level.

Properties
* DFT formation energy: -0.352 eV per atom
* M_tot: 0.0002 μB per atom
* N(E_F): 19.1 states/eV per cell

Cell lengths 6.611, 6.611, 6.611 Å; angles 90.00, 90.00, 90.00 degrees
Space group F-43m (No. 216)
Asymmetric unit:
Li: 0.000 0.000 0.000 [4 per cell]
Ce: 0.250 0.250 0.750 [4 per cell]
Zn: 0.250 0.250 0.250 [4 per cell]
Ir: 0.000 0.000 0.500 [4 per cell]


- Which value of N(E_F) does entry 4 give?
  3.2 states/eV per cell


- The highest M_tot belongs to which entry?
  CaTlCl2